First-principles (PBE) data for a geometry-optimized Cs2NaSn2Cl7 structure, as listed in Alexandria.

Output
As for the space group: C2/m (12). The calculation puts the size of the total moment at 0.00 μB/f.u. The volume comes out at 442.0 Å³ per cell. The formation energy from raw total energies is -1426 meV/atom. The density of states at the Fermi level is 0.000 states/eV/cell.

Cell lengths 5.701, 5.701, 14.936 Å; angles 77.17, 77.17, 102.98 degrees
Positions (direct):
Cs 0.850 0.850 0.358
Cs 0.150 0.150 0.642
Na 0.000 0.000 0.000
Sn 0.556 0.556 0.808
Sn 0.444 0.444 0.192
Cl 0.500 0.500 0.000
Cl 0.334 0.334 0.396
Cl 0.666 0.666 0.604
Cl 0.928 0.548 0.166
Cl 0.548 0.928 0.166
Cl 0.452 0.072 0.834
Cl 0.072 0.452 0.834